# GGA-PBE Tm2PuTl4, relaxed
data_Tm2PuTl4
_chemical_formula_sum 'Tm2 Pu1 Tl4'
_symmetry_space_group_name_H-M 'P 4/m m m'
_symmetry_Int_Tables_number 123
_symmetry_space_group_name_Hall '-P 4 2'
_cell_length_a 5.202
_cell_length_b 5.202
_cell_length_c 7.539
_cell_angle_alpha 90.00
_cell_angle_beta 90.00
_cell_angle_gamma 90.00
loop_
_atom_site_label
_atom_site_fract_x
_atom_site_fract_y
_atom_site_fract_z
Tm1 0.000 0.000 0.000
Tm2 0.500 0.500 0.500
Pu1 0.000 0.000 0.500
Tl1 0.000 0.500 0.227
# * formation enthalpy at 0 K: -0.10 eV/atom
# * crystal system: tetragonal
# * D(E_F): 1.20 states/eV per atom
# * calculated total energy: -4.7773 eV/atom

# GGA-PBE Tm5PuTl6, relaxed
data_Tm5PuTl6
_chemical_formula_sum 'Tm10 Pu2 Tl12'
_symmetry_space_group_name_H-M 'I m m m'
_symmetry_Int_Tables_number 71
_symmetry_space_group_name_Hall '-I 2 2'
_cell_length_a 4.961
_cell_length_b 8.643
_cell_length_c 14.876
_cell_angle_alpha 90.00
_cell_angle_beta 90.00
_cell_angle_gamma 90.00
loop_
_atom_site_label
_atom_site_fract_x
_atom_site_fract_y
_atom_site_fract_z
Tm1 0.000 0.000 0.000
Tm2 0.000 0.000 0.339
Tm3 0.000 0.500 0.330
Pu1 0.000 0.500 0.000
Tl1 0.000 0.247 0.169
Tl2 0.000 0.256 0.500
# * formation enthalpy at 0 K: -0.24 eV/atom
# * crystal system: orthorhombic
# * D(E_F): 1.51 states/eV per atom
# * calculated total energy: -4.4767 eV/atom

# GGA-PBE TmPu3Tl4, relaxed
data_TmPu3Tl4
_chemical_formula_sum 'Tm1 Pu3 Tl4'
_symmetry_space_group_name_H-M 'P 4/m m m'
_symmetry_Int_Tables_number 123
_symmetry_space_group_name_Hall '-P 4 2'
_cell_length_a 3.348
_cell_length_b 3.348
_cell_length_c 19.059
_cell_angle_alpha 90.00
_cell_angle_beta 90.00
_cell_angle_gamma 90.00
loop_
_atom_site_label
_atom_site_fract_x
_atom_site_fract_y
_atom_site_fract_z
Tm1 0.000 0.000 0.000
Pu1 0.000 0.000 0.246
Pu2 0.000 0.000 0.500
Tl1 0.500 0.500 0.120
Tl2 0.500 0.500 0.373
# * formation enthalpy at 0 K: -0.09 eV/atom
# * crystal system: tetragonal
# * D(E_F): 2.65 states/eV per atom
# * calculated total energy: -7.2095 eV/atom

# GGA-PBE Tm2PuTl9, relaxed
data_Tm2PuTl9
_chemical_formula_sum 'Tm2 Pu1 Tl9'
_symmetry_space_group_name_H-M 'P 4/m m m'
_symmetry_Int_Tables_number 123
_symmetry_space_group_name_Hall '-P 4 2'
_cell_length_a 4.757
_cell_length_b 4.757
_cell_length_c 14.290
_cell_angle_alpha 90.00
_cell_angle_beta 90.00
_cell_angle_gamma 90.00
loop_
_atom_site_label
_atom_site_fract_x
_atom_site_fract_y
_atom_site_fract_z
Tm1 0.000 0.000 0.164
Pu1 0.000 0.000 0.500
Tl1 0.000 0.500 0.000
Tl2 0.000 0.500 0.331
Tl3 0.500 0.500 0.167
Tl4 0.500 0.500 0.500
# * formation enthalpy at 0 K: -0.13 eV/atom
# * crystal system: tetragonal
# * D(E_F): 1.49 states/eV per atom
# * calculated total energy: -3.8462 eV/atom

# GGA-PBE Tm5PuTl6, relaxed
data_Tm5PuTl6
_chemical_formula_sum 'Tm10 Pu2 Tl12'
_symmetry_space_group_name_H-M 'C 1 2/m 1'
_symmetry_Int_Tables_number 12
_symmetry_space_group_name_Hall '-C 2y'
_cell_length_a 10.095
_cell_length_b 11.051
_cell_length_c 6.248
_cell_angle_alpha 90.00
_cell_angle_beta 102.59
_cell_angle_gamma 90.00
loop_
_atom_site_label
_atom_site_fract_x
_atom_site_fract_y
_atom_site_fract_z
Tm1 0.000 0.000 0.000
Tm2 0.000 0.169 0.500
Tm3 0.000 0.338 0.000
Pu1 0.000 0.500 0.500
Tl1 0.246 0.000 0.753
Tl2 0.246 0.170 0.246
# * formation enthalpy at 0 K: -0.17 eV/atom
# * crystal system: monoclinic
# * D(E_F): 1.26 states/eV per atom
# * calculated total energy: -4.4102 eV/atom

# GGA-PBE TmPuTl, relaxed
data_TmPuTl
_chemical_formula_sum 'Tm2 Pu2 Tl2'
_symmetry_space_group_name_H-M 'P 63/m m c'
_symmetry_Int_Tables_number 194
_symmetry_space_group_name_Hall '-P 6c 2c'
_cell_length_a 5.6605
_cell_length_b 5.6605
_cell_length_c 5.9737
_cell_angle_alpha 90.00
_cell_angle_beta 90.00
_cell_angle_gamma 120.00
loop_
_atom_site_label
_atom_site_fract_x
_atom_site_fract_y
_atom_site_fract_z
Tm1 0.3333 0.6667 0.2500
Pu1 0.0000 0.0000 0.2500
Tl1 0.3333 0.6667 0.7500
# * formation enthalpy at 0 K: 0.11 eV/atom
# * crystal system: hexagonal
# * D(E_F): 2.42 states/eV per atom
# * calculated total energy: -6.9473 eV/atom

Q: Which value of D(E_F) does entry 4 give?
A: 1.49 states/eV per atom